Below is ScCuTe2PbS after structural relaxation, with properties calculated at the GGA-PBE level. Values from VASP.

Calculated values
crystal system	orthorhombic

Quantum ESPRESSO input file:
```
&SYSTEM
  ibrav = 0, nat = 12, ntyp = 5
/
ATOMIC_SPECIES
S 32.06 S.upf
Te 127.60 Te.upf
Pb 207.20 Pb.upf
Cu 63.55 Cu.upf
Sc 44.96 Sc.upf
CELL_PARAMETERS angstrom
2.048 -7.190 0.000
2.048 7.190 0.000
0.000 0.000 10.041
ATOMIC_POSITIONS crystal
S 0.437 0.563 0.250
S 0.563 0.437 0.750
Te 0.142 0.858 0.056
Te 0.142 0.858 0.444
Te 0.858 0.142 0.556
Te 0.858 0.142 0.944
Pb 0.230 0.770 0.750
Pb 0.770 0.230 0.250
Cu 0.017 0.983 0.250
Cu 0.983 0.017 0.750
Sc 0.500 0.500 0.000
Sc 0.500 0.500 0.500
```


Below is ScCuTePbS2 after structural relaxation, with properties calculated at the GGA-PBE level. Values from VASP.

Calculated values
crystal system	orthorhombic

Quantum ESPRESSO input file:
```
&SYSTEM
  ibrav = 0, nat = 12, ntyp = 5
/
ATOMIC_SPECIES
Cu 63.55 Cu.upf
S 32.06 S.upf
Pb 207.20 Pb.upf
Te 127.60 Te.upf
Sc 44.96 Sc.upf
CELL_PARAMETERS angstrom
-2.069 5.917 3.581
-0.751 -4.313 -5.740
-7.178 -5.646 5.182
ATOMIC_POSITIONS crystal
Cu 0.528 0.472 0.750
Cu 0.472 0.528 0.250
S 0.382 0.618 0.435
S 0.618 0.382 0.565
S 0.382 0.618 0.065
S 0.618 0.382 0.935
Pb 0.209 0.791 0.750
Pb 0.791 0.209 0.250
Te 0.900 0.100 0.750
Te 0.100 0.900 0.250
Sc 0.000 0.000 0.000
Sc 0.000 0.000 0.500
```


Below is SmCuPbSeS2 after structural relaxation, with properties calculated at the GGA-PBE level. Values from VASP.

Calculated values
crystal system	orthorhombic

Quantum ESPRESSO input file:
```
&SYSTEM
  ibrav = 0, nat = 12, ntyp = 5
/
ATOMIC_SPECIES
S 32.06 S.upf
Sm 150.36 Sm.upf
Cu 63.55 Cu.upf
Pb 207.20 Pb.upf
Se 78.96 Se.upf
CELL_PARAMETERS angstrom
2.001 -6.686 0.000
2.001 6.686 0.000
0.000 0.000 10.754
ATOMIC_POSITIONS crystal
S 0.634 0.366 0.925
S 0.366 0.634 0.425
S 0.366 0.634 0.075
S 0.634 0.366 0.575
Sm 0.000 0.000 0.000
Sm 0.000 0.000 0.500
Cu 0.470 0.530 0.250
Cu 0.530 0.470 0.750
Pb 0.231 0.769 0.750
Pb 0.769 0.231 0.250
Se 0.913 0.087 0.750
Se 0.087 0.913 0.250
```


Below is TbCuPbSe2S after structural relaxation, with properties calculated at the GGA-PBE level. Values from VASP.

Calculated values
crystal system	orthorhombic

Quantum ESPRESSO input file:
```
&SYSTEM
  ibrav = 0, nat = 12, ntyp = 5
/
ATOMIC_SPECIES
S 32.06 S.upf
Tb 158.93 Tb.upf
Se 78.96 Se.upf
Pb 207.20 Pb.upf
Cu 63.55 Cu.upf
CELL_PARAMETERS angstrom
2.016 -6.757 0.000
2.016 6.757 0.000
0.000 0.000 10.320
ATOMIC_POSITIONS crystal
S 0.430 0.570 0.750
S 0.570 0.430 0.250
Tb 0.500 0.500 0.000
Tb 0.500 0.500 0.500
Se 0.144 0.856 0.565
Se 0.856 0.144 0.435
Se 0.144 0.856 0.935
Se 0.856 0.144 0.065
Pb 0.755 0.245 0.750
Pb 0.245 0.755 0.250
Cu 0.973 0.027 0.250
Cu 0.027 0.973 0.750
```


Below is TlCuPbSe2S after structural relaxation, with properties calculated at the GGA-PBE level. Values from VASP.

Calculated values
crystal system	orthorhombic

Quantum ESPRESSO input file:
```
&SYSTEM
  ibrav = 0, nat = 12, ntyp = 5
/
ATOMIC_SPECIES
Tl 204.38 Tl.upf
Pb 207.20 Pb.upf
S 32.06 S.upf
Cu 63.55 Cu.upf
Se 78.96 Se.upf
CELL_PARAMETERS angstrom
-6.236 2.244 -0.785
4.931 -0.838 4.419
3.996 10.223 -2.520
ATOMIC_POSITIONS crystal
Tl 0.211 0.789 0.750
Tl 0.789 0.211 0.250
Pb 0.500 0.500 0.500
Pb 0.500 0.500 0.000
S 0.512 0.488 0.750
S 0.488 0.512 0.250
Cu 0.919 0.081 0.750
Cu 0.081 0.919 0.250
Se 0.159 0.841 0.452
Se 0.841 0.159 0.548
Se 0.841 0.159 0.952
Se 0.159 0.841 0.048
```


Below is TmCuPbSeS2 after structural relaxation, with properties calculated at the GGA-PBE level. Values from VASP.

Calculated values
crystal system	orthorhombic

Quantum ESPRESSO input file:
```
&SYSTEM
  ibrav = 0, nat = 12, ntyp = 5
/
ATOMIC_SPECIES
S 32.06 S.upf
Tm 168.93 Tm.upf
Cu 63.55 Cu.upf
Pb 207.20 Pb.upf
Se 78.96 Se.upf
CELL_PARAMETERS angstrom
1.963 -6.634 0.000
1.963 6.634 0.000
0.000 0.000 10.414
ATOMIC_POSITIONS crystal
S 0.632 0.368 0.434
S 0.632 0.368 0.066
S 0.368 0.632 0.566
S 0.368 0.632 0.934
Tm 0.000 0.000 0.000
Tm 0.000 0.000 0.500
Cu 0.535 0.465 0.250
Cu 0.465 0.535 0.750
Pb 0.767 0.233 0.750
Pb 0.233 0.767 0.250
Se 0.084 0.916 0.750
Se 0.916 0.084 0.250
```


no.,energy (eV/atom)
1,-4.787
2,-5.056
3,-5.041
4,-4.907
5,-3.717
6,-5.004